Entry one
Below is a relaxed PmSmPt2 crystal, with properties calculated at the PBE-GGA level.

Calculated values
Symmetry: No. 160
Size of the total moment (μB/atom): 0.00

Cell: 4.1096 4.1096 7.4368 Å, 73.96 73.96 60.00°
Closest atoms and distances in Å follow each position.
Positions (direct):
Sm (0.4973, 0.4973, 0.5080)  6 Pt 2.90-2.96
Pt (0.2480, 0.2480, 0.2560)  3 Sm 2.96, 3 Pm 3.02
Pt (0.0850, 0.0850, 0.7450)  3 Sm 2.90, 3 Pm 2.94
Pm (0.6697, 0.6697, 0.9910)  6 Pt 2.94-3.02



Entry two
Below is a relaxed PmSmPt2 crystal, with properties calculated at the PBE-GGA level.

Calculated values
Symmetry: No. 225
Size of the total moment (μB/atom): 0.00

Cell: 5.0594 5.0594 5.0594 Å, 60.00 60.00 60.00°
Closest atoms and distances in Å follow each position.
Positions (direct):
Pm (0.0000, 0.0000, 0.0000)  8 Pt 3.10
Pt (0.2500, 0.2500, 0.2500)  4 Pm 3.10, 4 Sm 3.10
Pt (0.7500, 0.7500, 0.7500)  4 Sm 3.10, 4 Pm 3.10
Sm (0.5000, 0.5000, 0.5000)  8 Pt 3.10



Order of stability, best first: entry two, entry one



Entry one
Below is a relaxed Pm2Sm2Pt3 crystal, with properties calculated at the PBE-GGA level.

Calculated values
Symmetry: No. 12
Size of the total moment (μB/atom): 0.00

Cell: 4.2357 7.1504 7.2884 Å, 100.79 89.99 107.25°
Closest atoms and distances in Å follow each position.
Positions (direct):
Pt (0.2411, 0.4818, 0.7429)  3 Sm 2.86-2.88, 3 Pm 2.90-2.97
Pt (0.0000, 0.0000, 0.0000)  2 Sm 2.91, 4 Pm 2.93
Pt (0.7589, 0.5182, 0.2571)  3 Sm 2.86-2.88, 3 Pm 2.90-2.97
Pm (0.3732, 0.7465, 0.1064)  5 Pt 2.90-2.97
Pm (0.6268, 0.2535, 0.8936)  5 Pt 2.90-2.97
Sm (0.1385, 0.2779, 0.3573)  4 Pt 2.86-2.91
Sm (0.8615, 0.7221, 0.6427)  4 Pt 2.86-2.91



Entry two
Below is a relaxed Pm2Sm2Pt3 crystal, with properties calculated at the PBE-GGA level.

Calculated values
Symmetry: No. 199
Size of the total moment (μB/atom): 0.00

Cell: 7.7468 7.7468 7.7468 Å, 109.47 109.47 109.47°
Closest atoms and distances in Å follow each position.
Positions (direct):
Sm (0.0000, 0.0000, 0.8781)  3 Pt 2.89
Sm (0.3781, 0.5000, 0.0000)  3 Pt 2.89
Sm (0.1219, 0.6219, 0.6219)  3 Pt 2.89
Sm (0.5000, 0.8781, 0.5000)  3 Pt 2.89
Pm (0.8776, 0.5000, 0.0000)  3 Pt 2.89
Pm (0.0000, 0.0000, 0.3776)  3 Pt 2.89
Pm (0.6224, 0.1224, 0.1224)  3 Pt 2.89
Pm (0.5000, 0.3776, 0.5000)  3 Pt 2.89
Pt (0.6233, 0.7500, 0.8733)  2 Pm 2.89, 2 Sm 2.89
Pt (0.7500, 0.6267, 0.3767)  2 Pm 2.89, 2 Sm 2.89
Pt (0.2500, 0.8733, 0.1233)  2 Pm 2.89, 2 Sm 2.89
Pt (0.8767, 0.2500, 0.6267)  2 Pm 2.89, 2 Sm 2.89
Pt (0.1267, 0.3767, 0.2500)  2 Pm 2.89, 2 Sm 2.89
Pt (0.3733, 0.1233, 0.7500)  2 Pm 2.89, 2 Sm 2.89



Order of stability, best first: entry two, entry one